DFT (PBE-GGA) results for crystalline BIrRh at its relaxed geometry.

Results
DFT formation energy ... -0.13 eV/atom

Geometry as CIF:
```
data_BIrRh
_chemical_formula_sum 'B2 Ir2 Rh2'
_cell_length_a 2.757
_cell_length_b 5.200
_cell_length_c 5.540
_cell_angle_alpha 70.10
_cell_angle_beta 75.69
_cell_angle_gamma 74.63
_space_group_name_H-M_alt 'P -1'
_space_group_IT_number 2
_space_group_name_Hall '-P 1'
loop_
_atom_site_label
_atom_site_fract_x
_atom_site_fract_y
_atom_site_fract_z
B1 0.124 0.454 0.298
Ir1 0.430 0.775 0.377
Rh1 0.168 0.757 0.901
```



DFT (PBE-GGA) results for crystalline BIr2Rh at its relaxed geometry.

Results
DFT formation energy ... 0.63 eV/atom

Geometry as CIF:
```
data_BIr2Rh
_chemical_formula_sum 'B4 Ir8 Rh4'
_cell_length_a 4.772
_cell_length_b 4.772
_cell_length_c 11.583
_cell_angle_alpha 90.00
_cell_angle_beta 90.00
_cell_angle_gamma 90.00
_space_group_name_H-M_alt 'I -4 2 d'
_space_group_IT_number 122
_space_group_name_Hall 'I -4 2bw'
loop_
_atom_site_label
_atom_site_fract_x
_atom_site_fract_y
_atom_site_fract_z
B1 0.000 0.000 0.000
Ir1 0.166 0.250 0.125
Rh1 0.000 0.000 0.500
```